No. 1
Entry from Alexandria via LeMat-Bulk: a relaxed Li2Pd6Au crystal (GGA-PBE).

Calculated values
Fermi-level density of states = 39.7 states/eV per cell
ΔH_f (0 K) = -0.20 eV/atom
ΔE to the lowest computed polymorph = 0.00 kJ per mole of atoms

Cell: 10.115 9.304 7.159 Å, 90.00 125.51 90.00°
Space group C2/c (No. 15)
Asymmetric unit:
Li 0.176 0.109 0.424 x8
Pd 0.058 0.125 0.986 x8
Pd 0.106 0.385 0.691 x8
Pd 0.233 0.370 0.153 x8
Au 0.000 0.345 0.250 x4

=====

No. 2
Entry from Alexandria via LeMat-Bulk: a relaxed LiPdAu crystal (GGA-PBE).

Calculated values
Fermi-level density of states = 1.2 states/eV per cell
ΔH_f (0 K) = -0.20 eV/atom
ΔE to the lowest computed polymorph = 21.96 kJ per mole of atoms

Cell: 2.811 4.672 4.788 Å, 115.10 90.77 90.63°
Space group P-1 (No. 2)
Asymmetric unit:
Li 0.000 0.000 0.000 x1
Pd 0.000 0.500 0.500 x1
Au 0.500 0.000 0.500 x1

=====

No. 3
Entry from Alexandria via LeMat-Bulk: a relaxed Li2PdAu2 crystal (GGA-PBE).

Calculated values
Fermi-level density of states = 2.8 states/eV per cell
ΔH_f (0 K) = -0.38 eV/atom
ΔE to the lowest computed polymorph = 5.86 kJ per mole of atoms

Cell: 7.084 7.084 2.987 Å, 90.00 90.00 90.00°
Space group P4/mbm (No. 127)
Asymmetric unit:
Li 0.133 0.367 0.000 x4
Pd 0.000 0.000 0.000 x2
Au 0.167 0.667 0.500 x4

=====

No. 4
Entry from Alexandria via LeMat-Bulk: a relaxed Li12Pd5Au2 crystal (GGA-PBE).

Calculated values
Fermi-level density of states = 10.7 states/eV per cell
ΔH_f (0 K) = -0.37 eV/atom

Cell: 13.470 8.720 4.792 Å, 90.00 102.17 90.00°
Space group C2/m (No. 12)
Asymmetric unit:
Li 0.060 0.000 0.279 x4
Li 0.101 0.254 0.594 x8
Li 0.113 0.500 0.015 x4
Li 0.201 0.250 0.199 x8
Pd 0.000 0.500 0.500 x2
Pd 0.167 0.000 0.863 x4
Pd 0.221 0.500 0.559 x4
Au 0.000 0.254 0.000 x4

=====

No. 5
Entry from Alexandria via LeMat-Bulk: a relaxed LiPd6Au2 crystal (GGA-PBE).

Calculated values
Fermi-level density of states = 15.7 states/eV per cell
ΔH_f (0 K) = -0.14 eV/atom
ΔE to the lowest computed polymorph = 0.00 kJ per mole of atoms

Cell: 4.866 4.878 7.081 Å, 76.35 83.87 60.14°
Space group P-1 (No. 2)
Asymmetric unit:
Li 0.000 0.000 0.000 x1
Pd 0.003 0.777 0.670 x2
Pd 0.332 0.332 0.999 x2
Pd 0.338 0.108 0.672 x2
Au 0.326 0.561 0.325 x2

=====

No. 6
Entry from Alexandria via LeMat-Bulk: a relaxed LiPdAu5 crystal (GGA-PBE).

Calculated values
Fermi-level density of states = 3.2 states/eV per cell
ΔH_f (0 K) = -0.19 eV/atom
ΔE to the lowest computed polymorph = 0.00 kJ per mole of atoms

Cell: 5.726 8.010 5.673 Å, 90.00 90.00 90.00°
Space group Cmmm (No. 65)
Asymmetric unit:
Li 0.000 0.000 0.000 x2
Pd 0.000 0.500 0.500 x2
Au 0.000 0.500 0.000 x2
Au 0.250 0.250 0.255 x8